The following is a PBE calculation of a relaxed structure of MgInSiC2, from Alexandria via LeMat-Bulk.

a b c (Å): 3.875 5.726 3.875
angles (deg): 90.00 90.00 90.00
Element x y z (fractional)
In 0.500 0.500 0.500
C 0.500 0.000 0.000
C 0.000 0.000 0.500
Mg 0.000 0.500 0.000
Si 0.000 0.000 0.000

## Properties
Final energy (eV/atom): -4.136
SG: P4/mmm